{"formula": "PrAlCo", "functional": "PBE", "state": "relaxed", "vol_a3_per_cell": 63, "space_group": "P-6m2, No. 187", "ef_mev_per_atom": -213, "lattice_angstrom": [[4.222, 0.000, 0.000], [-2.111, 3.656, 0.000], [0.000, 0.000, 4.093]], "species": ["Pr", "Al", "Co"], "frac_coords": [[0.000, 0.000, 0.000], [0.667, 0.333, 0.500], [0.333, 0.667, 0.500]]}

{"formula": "Pr2Al3Co14", "functional": "PBE", "state": "relaxed", "vol_a3_per_cell": 256, "space_group": "R-3m, No. 166", "ef_mev_per_atom": -143, "lattice_angstrom": [[4.223, 2.438, 4.140], [-4.223, 2.438, 4.140], [0.000, -4.876, 4.140]], "species": ["Pr", "Pr", "Al", "Al", "Al", "Co", "Co", "Co", "Co", "Co", "Co", "Co", "Co", "Co", "Co", "Co", "Co", "Co", "Co"], "frac_coords": [[0.157, 0.157, 0.157], [0.843, 0.843, 0.843], [0.000, 0.500, 0.500], [0.500, 0.000, 0.500], [0.500, 0.500, 0.000], [0.156, 0.156, 0.661], [0.156, 0.661, 0.156], [0.214, 0.500, 0.786], [0.214, 0.786, 0.500], [0.339, 0.844, 0.844], [0.408, 0.408, 0.408], [0.500, 0.214, 0.786], [0.500, 0.786, 0.214], [0.592, 0.592, 0.592], [0.661, 0.156, 0.156], [0.786, 0.214, 0.500], [0.786, 0.500, 0.214], [0.844, 0.339, 0.844], [0.844, 0.844, 0.339]]}

{"formula": "PrAlCo", "functional": "PBE", "state": "relaxed", "vol_a3_per_cell": 126, "space_group": "P4/nmm, No. 129", "ef_mev_per_atom": -339, "lattice_angstrom": [[4.212, 0.000, 0.000], [0.000, 4.212, 0.000], [0.000, 0.000, 7.110]], "species": ["Pr", "Pr", "Al", "Al", "Co", "Co"], "frac_coords": [[0.250, 0.250, 0.187], [0.750, 0.750, 0.813], [0.250, 0.250, 0.666], [0.750, 0.750, 0.334], [0.250, 0.750, 0.500], [0.750, 0.250, 0.500]]}

{"formula": "PrAl12Co4", "functional": "PBE", "state": "relaxed", "vol_a3_per_cell": 361, "space_group": "Im-3, No. 204", "ef_mev_per_atom": -153, "lattice_angstrom": [[-4.486, 4.486, 4.486], [4.486, -4.486, 4.486], [4.486, 4.486, -4.486]], "species": ["Pr", "Al", "Al", "Al", "Al", "Al", "Al", "Al", "Al", "Al", "Al", "Al", "Al", "Co", "Co", "Co", "Co"], "frac_coords": [[0.000, 0.000, 0.000], [0.001, 0.261, 0.741], [0.259, 0.520, 0.261], [0.259, 0.999, 0.739], [0.261, 0.259, 0.520], [0.261, 0.741, 0.001], [0.480, 0.739, 0.741], [0.520, 0.261, 0.259], [0.739, 0.259, 0.999], [0.739, 0.741, 0.480], [0.741, 0.001, 0.261], [0.741, 0.480, 0.739], [0.999, 0.739, 0.259], [0.000, 0.000, 0.500], [0.000, 0.500, 0.000], [0.500, 0.000, 0.000], [0.500, 0.500, 0.500]]}

{"formula": "PrAl8Co4", "functional": "PBE", "state": "relaxed", "vol_a3_per_cell": 191, "space_group": "I4/mmm, No. 139", "ef_mev_per_atom": -477, "lattice_angstrom": [[-4.311, 4.311, 2.565], [4.311, -4.311, 2.565], [4.311, 4.311, -2.565]], "species": ["Pr", "Al", "Al", "Al", "Al", "Al", "Al", "Al", "Al", "Co", "Co", "Co", "Co"], "frac_coords": [[0.000, 0.000, 0.000], [0.000, 0.342, 0.342], [0.000, 0.658, 0.658], [0.275, 0.500, 0.775], [0.342, 0.000, 0.342], [0.500, 0.275, 0.775], [0.500, 0.725, 0.225], [0.658, 0.000, 0.658], [0.725, 0.500, 0.225], [0.000, 0.000, 0.500], [0.000, 0.500, 0.000], [0.500, 0.000, 0.000], [0.500, 0.500, 0.500]]}

{"formula": "Pr2AlCo2", "functional": "PBE", "state": "relaxed", "vol_a3_per_cell": 203, "space_group": "C2/c, No. 15", "ef_mev_per_atom": -236, "lattice_angstrom": [[4.809, -2.829, 0.000], [4.809, 2.829, 0.000], [-1.797, 0.000, 7.463]], "species": ["Pr", "Pr", "Pr", "Pr", "Al", "Al", "Co", "Co", "Co", "Co"], "frac_coords": [[0.002, 0.289, 0.146], [0.289, 0.002, 0.646], [0.711, 0.998, 0.354], [0.998, 0.711, 0.854], [0.383, 0.617, 0.250], [0.617, 0.383, 0.750], [0.215, 0.499, 0.495], [0.499, 0.215, 0.995], [0.501, 0.785, 0.005], [0.785, 0.501, 0.505]]}

{"formula": "Pr2Al2Co15", "functional": "PBE", "state": "relaxed", "vol_a3_per_cell": 253, "space_group": "R-3m, No. 166", "ef_mev_per_atom": -111, "lattice_angstrom": [[4.215, 2.433, 4.114], [-4.215, 2.433, 4.114], [0.000, -4.867, 4.114]], "species": ["Pr", "Pr", "Al", "Al", "Co", "Co", "Co", "Co", "Co", "Co", "Co", "Co", "Co", "Co", "Co", "Co", "Co", "Co", "Co"], "frac_coords": [[0.147, 0.147, 0.147], [0.853, 0.853, 0.853], [0.395, 0.395, 0.395], [0.605, 0.605, 0.605], [0.000, 0.500, 0.500], [0.154, 0.154, 0.646], [0.154, 0.646, 0.154], [0.217, 0.500, 0.783], [0.217, 0.783, 0.500], [0.354, 0.846, 0.846], [0.500, 0.000, 0.500], [0.500, 0.217, 0.783], [0.500, 0.500, 0.000], [0.500, 0.783, 0.217], [0.646, 0.154, 0.154], [0.783, 0.217, 0.500], [0.783, 0.500, 0.217], [0.846, 0.354, 0.846], [0.846, 0.846, 0.354]]}

{"formula": "PrAl12Co6", "functional": "PBE", "state": "relaxed", "vol_a3_per_cell": 290, "space_group": "R-3m, No. 166", "ef_mev_per_atom": -398, "lattice_angstrom": [[5.493, 3.172, 2.771], [-5.493, 3.172, 2.771], [0.000, -6.343, 2.771]], "species": ["Pr", "Al", "Al", "Al", "Al", "Al", "Al", "Al", "Al", "Al", "Al", "Al", "Al", "Co", "Co", "Co", "Co", "Co", "Co"], "frac_coords": [[0.000, 0.000, 0.000], [0.122, 0.500, 0.878], [0.122, 0.878, 0.500], [0.156, 0.426, 0.426], [0.426, 0.156, 0.426], [0.426, 0.426, 0.156], [0.500, 0.122, 0.878], [0.500, 0.878, 0.122], [0.574, 0.574, 0.844], [0.574, 0.844, 0.574], [0.844, 0.574, 0.574], [0.878, 0.122, 0.500], [0.878, 0.500, 0.122], [0.265, 0.265, 0.681], [0.265, 0.681, 0.265], [0.319, 0.735, 0.735], [0.681, 0.265, 0.265], [0.735, 0.319, 0.735], [0.735, 0.735, 0.319]]}

{"formula": "PrAl9Co2", "functional": "PBE", "state": "relaxed", "vol_a3_per_cell": 386, "space_group": "I4_1/amd, No. 141", "ef_mev_per_atom": -383, "lattice_angstrom": [[-5.295, 5.295, 3.438], [5.295, -5.295, 3.438], [5.295, 5.295, -3.438]], "species": ["Pr", "Pr", "Al", "Al", "Al", "Al", "Al", "Al", "Al", "Al", "Al", "Al", "Al", "Al", "Al", "Al", "Al", "Al", "Al", "Al", "Co", "Co", "Co", "Co"], "frac_coords": [[0.375, 0.625, 0.750], [0.625, 0.375, 0.250], [0.125, 0.875, 0.250], [0.140, 0.569, 0.326], [0.140, 0.814, 0.571], [0.186, 0.257, 0.326], [0.186, 0.860, 0.929], [0.257, 0.186, 0.826], [0.257, 0.431, 0.071], [0.431, 0.257, 0.571], [0.431, 0.860, 0.174], [0.569, 0.140, 0.826], [0.569, 0.743, 0.429], [0.743, 0.569, 0.929], [0.743, 0.814, 0.174], [0.814, 0.140, 0.071], [0.814, 0.743, 0.674], [0.860, 0.186, 0.429], [0.860, 0.431, 0.674], [0.875, 0.125, 0.750], [0.000, 0.000, 0.000], [0.000, 0.000, 0.500], [0.000, 0.500, 0.000], [0.500, 0.000, 0.500]]}

{"formula": "Pr2Al4CoPt3", "functional": "PBE", "state": "relaxed", "vol_a3_per_cell": 189, "space_group": "P-4m2, No. 115", "ef_mev_per_atom": -946, "lattice_angstrom": [[4.295, 0.000, 0.000], [0.000, 4.295, 0.000], [0.000, 0.000, 10.263]], "species": ["Pr", "Pr", "Al", "Al", "Al", "Al", "Co", "Pt", "Pt", "Pt"], "frac_coords": [[0.000, 0.500, 0.243], [0.500, 0.000, 0.757], [0.000, 0.000, 0.500], [0.000, 0.500, 0.881], [0.500, 0.000, 0.119], [0.500, 0.500, 0.500], [0.500, 0.500, 0.000], [0.000, 0.000, 0.000], [0.000, 0.500, 0.634], [0.500, 0.000, 0.366]]}

{"formula": "Pr2ScAl12Co3", "functional": "PBE", "state": "relaxed", "vol_a3_per_cell": 382, "space_group": "R-3m, No. 166", "ef_mev_per_atom": 38, "lattice_angstrom": [[4.207, 2.429, 6.231], [-4.207, 2.429, 6.231], [0.000, -4.858, 6.231]], "species": ["Pr", "Pr", "Sc", "Al", "Al", "Al", "Al", "Al", "Al", "Al", "Al", "Al", "Al", "Al", "Al", "Co", "Co", "Co"], "frac_coords": [[0.084, 0.084, 0.084], [0.916, 0.916, 0.916], [0.500, 0.500, 0.500], [0.039, 0.658, 0.658], [0.227, 0.227, 0.596], [0.227, 0.596, 0.227], [0.342, 0.342, 0.961], [0.342, 0.961, 0.342], [0.404, 0.773, 0.773], [0.596, 0.227, 0.227], [0.658, 0.039, 0.658], [0.658, 0.658, 0.039], [0.773, 0.404, 0.773], [0.773, 0.773, 0.404], [0.961, 0.342, 0.342], [0.000, 0.500, 0.500], [0.500, 0.000, 0.500], [0.500, 0.500, 0.000]]}

{"formula": "PrAl2Co2Si", "functional": "PBE", "state": "relaxed", "raw_formation_energy_mev_per_atom": -390.1, "vol_a3_per_cell": 104, "space_group": "P4/mmm, No. 123", "lattice_angstrom": [[4.257, 0.000, 0.000], [0.000, 4.257, 0.000], [0.000, 0.000, 5.735]], "species": ["Pr", "Al", "Al", "Co", "Co", "Si"], "frac_coords": [[0.000, 0.000, 0.000], [0.500, 0.500, 0.252], [0.500, 0.500, 0.748], [0.000, 0.500, 0.500], [0.500, 0.000, 0.500], [0.000, 0.000, 0.500]]}

Please write out number 3 again, unchanged.
{"formula": "PrAlCo", "functional": "PBE", "state": "relaxed", "vol_a3_per_cell": 126, "space_group": "P4/nmm, No. 129", "ef_mev_per_atom": -339, "lattice_angstrom": [[4.212, 0.000, 0.000], [0.000, 4.212, 0.000], [0.000, 0.000, 7.110]], "species": ["Pr", "Pr", "Al", "Al", "Co", "Co"], "frac_coords": [[0.250, 0.250, 0.187], [0.750, 0.750, 0.813], [0.250, 0.250, 0.666], [0.750, 0.750, 0.334], [0.250, 0.750, 0.500], [0.750, 0.250, 0.500]]}

Copy entry 3 word for word.
{"formula": "PrAlCo", "functional": "PBE", "state": "relaxed", "vol_a3_per_cell": 126, "space_group": "P4/nmm, No. 129", "ef_mev_per_atom": -339, "lattice_angstrom": [[4.212, 0.000, 0.000], [0.000, 4.212, 0.000], [0.000, 0.000, 7.110]], "species": ["Pr", "Pr", "Al", "Al", "Co", "Co"], "frac_coords": [[0.250, 0.250, 0.187], [0.750, 0.750, 0.813], [0.250, 0.250, 0.666], [0.750, 0.750, 0.334], [0.250, 0.750, 0.500], [0.750, 0.250, 0.500]]}

What did the fifth record say?
{"formula": "PrAl8Co4", "functional": "PBE", "state": "relaxed", "vol_a3_per_cell": 191, "space_group": "I4/mmm, No. 139", "ef_mev_per_atom": -477, "lattice_angstrom": [[-4.311, 4.311, 2.565], [4.311, -4.311, 2.565], [4.311, 4.311, -2.565]], "species": ["Pr", "Al", "Al", "Al", "Al", "Al", "Al", "Al", "Al", "Co", "Co", "Co", "Co"], "frac_coords": [[0.000, 0.000, 0.000], [0.000, 0.342, 0.342], [0.000, 0.658, 0.658], [0.275, 0.500, 0.775], [0.342, 0.000, 0.342], [0.500, 0.275, 0.775], [0.500, 0.725, 0.225], [0.658, 0.000, 0.658], [0.725, 0.500, 0.225], [0.000, 0.000, 0.500], [0.000, 0.500, 0.000], [0.500, 0.000, 0.000], [0.500, 0.500, 0.500]]}